Record 1
A plane-wave DFT calculation with PBE was carried out for a geometry-optimized AlTlCuS3 structure.

abc: 7.719 3.606 9.712
angles: 90.00 112.12 90.00
Fractional coordinates of all 12 atoms:
Al 0.177 0.250 0.138
Al 0.823 0.750 0.862
Tl 0.237 0.750 0.717
Tl 0.763 0.250 0.283
Cu 0.428 0.750 0.405
Cu 0.572 0.250 0.595
S 0.043 0.250 0.873
S 0.259 0.250 0.426
S 0.393 0.750 0.158
S 0.607 0.250 0.842
S 0.741 0.750 0.574
S 0.957 0.750 0.127

Results
raw total energy	-50.88	eV per cell
crystal system	monoclinic
space-group type	No. 11

Record 2
A plane-wave DFT calculation with PBE was carried out for a geometry-optimized NaTlPt structure.

abc: 4.654 4.654 4.654
angles: 60.00 60.00 60.00
Fractional coordinates of all 3 atoms:
Na 0.000 0.000 0.000
Tl 0.250 0.250 0.250
Pt 0.750 0.750 0.750

Results
raw total energy	-8.99	eV per cell
crystal system	cubic
size of the total moment	0.0	μB/f.u.
space-group type	No. 216

Record 3
A plane-wave DFT calculation with PBE was carried out for a geometry-optimized Lu2ScNi structure.

abc: 4.970 4.970 4.970
angles: 60.00 60.00 60.00
Fractional coordinates of all 4 atoms:
Lu 0.000 0.000 0.000
Lu 0.250 0.250 0.250
Sc 0.750 0.750 0.750
Ni 0.500 0.500 0.500

Results
raw total energy	-20.46	eV per cell
crystal system	cubic
size of the total moment	0.0	μB/f.u.
space-group type	No. 216

Record 4
A plane-wave DFT calculation with PBE was carried out for a geometry-optimized TmInGa4Ir structure.

abc: 4.428 4.428 6.838
angles: 90.00 90.00 90.00
Fractional coordinates of all 7 atoms:
Tm 0.000 0.000 0.000
In 0.500 0.500 0.000
Ga 0.000 0.500 0.305
Ga 0.000 0.500 0.695
Ga 0.500 0.000 0.305
Ga 0.500 0.000 0.695
Ir 0.000 0.000 0.500

Results
raw total energy	-31.66	eV per cell
crystal system	tetragonal
size of the total moment	0.0	μB/f.u.
space-group type	No. 123